<A>
First-principles (PBE) data for crystalline MgSiTe at its relaxed geometry, as listed in Alexandria via LeMat-Bulk.

Output
The calculation puts the total magnetic moment at 0.0 μB per formula unit.

Unit cell a=7.6445 b=7.6445 c=7.6445 alpha=148.62 beta=60.14 gamma=130.10
Last column: nearest neighbours and their distance in Å.
Atoms (fractional coordinates):
Mg: 0.1509 0.0000 0.1509  1 Si 2.61, 3 Te 2.82-2.86
Mg: 0.8491 0.0000 0.8491  1 Si 2.61, 3 Te 2.82-2.86
Si: 0.5502 0.0502 0.5000  2 Si 2.40, 2 Te 2.64
Si: 0.7393 0.7393 0.0000  2 Si 2.40, 2 Mg 2.61
Te: 0.1406 0.7973 0.3433  1 Si 2.64, 3 Mg 2.82-2.86
Te: 0.4539 0.7973 0.6567  1 Si 2.64, 3 Mg 2.82-2.86

***

<B>
First-principles (PBE) data for crystalline MgSiTe at its relaxed geometry, as listed in Alexandria via LeMat-Bulk.

Output
The calculation puts the total magnetic moment at 0.0 μB per formula unit.

Unit cell a=3.0724 b=4.2649 c=6.0184 alpha=90.82 beta=104.73 gamma=90.10
Last column: nearest neighbours and their distance in Å.
Atoms (fractional coordinates):
Mg: 0.0000 0.0000 0.0000  4 Si 2.80-2.81, 2 Te 3.06-3.10, 2 Mg 3.07
Si: 0.4159 0.4975 0.8329  1 Te 2.62, 4 Mg 2.80-2.81
Te: 0.1924 0.5011 0.3828  1 Si 2.62

***

Energy ordering: <A> at the bottom, the next structure 267 meV per atom above.